# KHf2I8

A relaxed KHf2I8 crystal (PBE, the Alexandria database).

Lattice parameters (Å, degrees): 5.775 10.524 10.525 120.00 90.00 90.00
Last column: magnetic moment on the atom in μB.
Fractional positions:
1 Hf 0.248 0.333 0.667  0.35
2 Hf 0.752 0.667 0.333  0.35
3 I 0.740 0.366 0.184  0.00
4 I 0.260 0.184 0.818  0.00
5 I 0.247 0.667 0.333  -0.01
6 I 0.260 0.182 0.366  0.00
7 I 0.740 0.816 0.182  0.00
8 I 0.740 0.818 0.634  0.00
9 I 0.753 0.333 0.667  -0.01
10 I 0.260 0.634 0.816  0.00
11 K 0.000 0.000 0.000  0.00

As for the space-group type: P-3. The uncorrected formation energy comes out at -0.80 eV per atom.

***

# GaCu2B

A relaxed GaCu2B crystal (PBE, the Alexandria database).

Lattice parameters (Å, degrees): 4.030 4.030 4.030 60.00 60.00 60.00
Fractional positions:
1 Cu 0.250 0.250 0.250
2 Cu 0.750 0.750 0.750
3 B 0.000 0.000 0.000
4 Ga 0.500 0.500 0.500

As for the space-group type: Fm-3m. For the formation energy, the calculation gives 0.580 eV per atom.

***

# CaIrCl

A relaxed CaIrCl crystal (PBE, the Alexandria database).

Lattice parameters (Å, degrees): 4.642 4.642 8.889 90.00 90.00 120.00
Fractional positions:
1 Ca 0.667 0.333 0.750
2 Ca 0.333 0.667 0.250
3 Cl 0.000 0.000 0.750
4 Cl 0.000 0.000 0.250
5 Ir 0.000 0.000 0.000
6 Ir 0.000 0.000 0.500

As for the space-group type: P6_3/mmc. The uncorrected formation energy comes out at 0.07 eV per atom.

***

# ZrCd2Tc

A relaxed ZrCd2Tc crystal (PBE, the Alexandria database).

Lattice parameters (Å, degrees): 4.784 4.784 4.784 60.00 60.00 60.00
Fractional positions:
1 Zr 0.750 0.750 0.750
2 Cd 0.000 0.000 0.000
3 Cd 0.250 0.250 0.250
4 Tc 0.500 0.500 0.500

As for the space-group type: F-43m. For the formation energy, the calculation gives 0.197 eV per atom.

***

# ZrAl4P

A relaxed ZrAl4P crystal (PBE, the Alexandria database).

Lattice parameters (Å, degrees): 5.258 5.258 5.258 60.00 60.00 60.00
Fractional positions:
1 Zr 0.000 0.000 0.000
2 Al 0.374 0.374 0.374
3 Al 0.374 0.374 0.878
4 Al 0.878 0.374 0.374
5 Al 0.374 0.878 0.374
6 P 0.750 0.750 0.750

As for the space-group type: F-43m. For the formation energy, the calculation gives -0.099 eV per atom.

***

# PmGdHoZr

A relaxed PmGdHoZr crystal (PBE, the Alexandria database).

Lattice parameters (Å, degrees): 5.525 5.525 5.525 60.00 60.00 60.00
Last column: magnetic moment on the atom in μB.
Fractional positions:
1 Gd 0.500 0.500 0.500  7.31
2 Ho 0.750 0.750 0.750  0.07
3 Pm 0.000 0.000 0.000  0.11
4 Zr 0.250 0.250 0.250  0.68

As for the space-group type: F-43m. For the formation energy, the calculation gives 0.200 eV per atom.

***

# AlSiAu

A relaxed AlSiAu crystal (PBE, the Alexandria database).

Lattice parameters (Å, degrees): 4.305 4.303 7.917 74.11 89.99 59.99
Fractional positions:
1 Si 0.118 0.509 0.847
2 Si 0.618 0.509 0.347
3 Au 0.429 0.887 0.780
4 Au 0.929 0.887 0.280
5 Al 0.728 0.290 0.677
6 Al 0.228 0.290 0.177

As for the space-group type: Cm. The uncorrected formation energy comes out at -0.14 eV per atom.

***

# ErBi2P2Pd7

A relaxed ErBi2P2Pd7 crystal (PBE, the Alexandria database).

Lattice parameters (Å, degrees): 4.550 4.550 11.440 87.59 87.59 98.47
Fractional positions:
1 Pd 0.429 0.837 0.202
2 Pd 0.635 0.635 0.609
3 Pd 0.163 0.571 0.798
4 Pd 0.500 0.500 0.000
5 Pd 0.365 0.365 0.391
6 Pd 0.571 0.163 0.798
7 Pd 0.837 0.429 0.202
8 Bi 0.853 0.853 0.382
9 Bi 0.147 0.147 0.618
10 Er 0.000 0.000 0.000
11 P 0.311 0.311 0.186
12 P 0.689 0.689 0.814

As for the space-group type: C2/m. For the formation energy, the calculation gives -0.499 eV per atom.

***

Magnetic moment for the records above, in order: 0.093 0.000 0.000 0.000 0.000 2.255 0.000 0.000 μB per atom